Here is an optimized crystal structure of PrErTh2 from the Alexandria database. Energies are from GGA-PBE.

Summary:
Space-group type: P4/mmm (123)
Volume (Å³ per atom): 32.690
Raw total energy (eV for the cell shown): -23.89
E_form (eV/atom): 0.07
Energy relative to the lowest polymorph listed for this composition (meV/atom): 42

Unit cell a=5.1738 b=5.0273 c=5.0273 alpha=90.00 beta=90.00 gamma=90.00
With the nearest neighbours (Å) after each atom.
Element x y z (fractional)
Pr 0.5000 0.0000 0.0000  4 Er 3.55, 8 Th 3.61
Th 0.0000 0.0000 0.5000  4 Th 3.55, 4 Pr 3.61, 4 Er 3.61
Th 0.0000 0.5000 0.0000  4 Th 3.55, 4 Pr 3.61, 4 Er 3.61
Er 0.5000 0.5000 0.5000  4 Pr 3.55, 8 Th 3.61